Compound: La2InHPd6
Source: Alexandria
Functional: PBE
Structure: relaxed

Geometry as POSCAR:
```
La2InHPd6
1.0
2.9119 1.6812 6.4629
-2.9119 1.6812 6.4629
0.0000 -3.3624 6.4629
La In H Pd
2 1 1 6
direct
0.2379 0.2379 0.2379
0.7621 0.7621 0.7621
0.5000 0.5000 0.5000
0.0000 0.0000 0.0000
0.2239 0.2239 0.7309
0.2239 0.7309 0.2239
0.2691 0.7761 0.7761
0.7309 0.2239 0.2239
0.7761 0.2691 0.7761
0.7761 0.7761 0.2691
```

Results
Total DFT energy (no corrections): -53.70 eV for the cell shown
SG: R-3m
ρ: 9.03 Mg/m³



Compound: La2InHPt
Source: Alexandria
Functional: PBE
Structure: relaxed

Geometry as POSCAR:
```
La2InHPt
1.0
5.3927 0.0000 0.0000
0.0000 5.3927 0.0000
0.0000 0.0000 3.8750
La In H Pt
2 1 1 1
direct
0.0000 0.5000 0.0000
0.5000 0.0000 0.0000
0.0000 0.0000 0.5000
0.5000 0.5000 0.0000
0.5000 0.5000 0.5000
```

Results
Total DFT energy (no corrections): -25.05 eV for the cell shown
SG: P4/mmm
ρ: 8.68 Mg/m³



Compound: RbLaInH2
Source: Alexandria
Functional: PBE
Structure: relaxed

Geometry as POSCAR:
```
RbLaInH2
1.0
4.9340 0.0000 0.0000
0.0000 4.9340 0.0000
0.0000 0.0000 6.2320
Rb La In H
1 1 1 2
direct
0.0000 0.0000 0.0000
0.5000 0.5000 0.0000
0.5000 0.5000 0.5000
0.0000 0.5000 0.5000
0.5000 0.0000 0.5000
```

Results
Total DFT energy (no corrections): -11.18 eV for the cell shown
SG: P4/mmm
ρ: 3.73 Mg/m³



Compound: LaInH6Rh3
Source: Alexandria
Functional: PBE
Structure: relaxed

Geometry as POSCAR:
```
LaInH6Rh3
1.0
3.6499 2.1073 2.8139
-3.6499 2.1073 2.8139
0.0000 -4.2145 2.8139
La In H Rh
1 1 6 3
direct
0.0000 0.0000 0.0000
0.4170 0.4170 0.4170
0.1226 0.5015 0.9247
0.5015 0.9247 0.1226
0.5306 0.9286 0.7680
0.7680 0.5306 0.9286
0.9247 0.1226 0.5015
0.9286 0.7680 0.5306
0.4474 0.6317 0.9267
0.6317 0.9267 0.4474
0.9267 0.4474 0.6317
```

Results
Total DFT energy (no corrections): -52.95 eV for the cell shown
SG: R3
ρ: 7.27 Mg/m³



Compound: LaInH6Rh2
Source: Alexandria
Functional: PBE
Structure: relaxed

Geometry as POSCAR:
```
LaInH6Rh2
1.0
2.3297 1.3450 5.5804
-2.3297 1.3450 5.5804
0.0000 -2.6901 5.5804
La In H Rh
1 1 6 2
direct
0.0000 0.0000 0.0000
0.5000 0.5000 0.5000
0.0423 0.5659 0.5659
0.4341 0.4341 0.9577
0.4341 0.9577 0.4341
0.5659 0.0423 0.5659
0.5659 0.5659 0.0423
0.9577 0.4341 0.4341
0.2141 0.2141 0.2141
0.7859 0.7859 0.7859
```

Results
Total DFT energy (no corrections): -46.34 eV for the cell shown
SG: R-3m
ρ: 7.37 Mg/m³



Compound: LaInH2Rh
Source: Alexandria
Functional: PBE
Structure: relaxed

Geometry as POSCAR:
```
LaInH2Rh
1.0
4.2755 0.0000 0.0000
0.0000 4.2755 0.0000
0.0000 0.0000 5.1088
La In H Rh
1 1 2 1
direct
0.0000 0.0000 0.0000
0.5000 0.5000 0.0000
0.0000 0.5000 0.5000
0.5000 0.0000 0.5000
0.5000 0.5000 0.5000
```

Results
Total DFT energy (no corrections): -20.98 eV for the cell shown
SG: P4/mmm
ρ: 6.38 Mg/m³



Compound: La2InH12Ru3
Source: Alexandria
Functional: PBE
Structure: relaxed

Geometry as POSCAR:
```
La2InH12Ru3
1.0
3.2284 1.8639 4.7114
-3.2284 1.8639 4.7114
0.0000 -3.7278 4.7114
La In H Ru
2 1 12 3
direct
0.1157 0.1157 0.1157
0.8843 0.8843 0.8843
0.5000 0.5000 0.5000
0.1015 0.6270 0.6270
0.1738 0.1738 0.6317
0.1738 0.6317 0.1738
0.3683 0.8262 0.8262
0.3730 0.3730 0.8985
0.3730 0.8985 0.3730
0.6270 0.1015 0.6270
0.6270 0.6270 0.1015
0.6317 0.1738 0.1738
0.8262 0.3683 0.8262
0.8262 0.8262 0.3683
0.8985 0.3730 0.3730
0.0000 0.5000 0.5000
0.5000 0.0000 0.5000
0.5000 0.5000 0.0000
```

Results
Total DFT energy (no corrections): -83.76 eV for the cell shown
SG: R-3m
ρ: 6.91 Mg/m³



Compound: La2InHRu
Source: Alexandria
Functional: PBE
Structure: relaxed

Geometry as POSCAR:
```
La2InHRu
1.0
5.3225 0.0000 0.0000
0.0000 5.3225 0.0000
0.0000 0.0000 3.8366
La In H Ru
2 1 1 1
direct
0.0000 0.5000 0.0000
0.5000 0.0000 0.0000
0.0000 0.0000 0.5000
0.5000 0.5000 0.0000
0.5000 0.5000 0.5000
```

Results
Total DFT energy (no corrections): -26.84 eV for the cell shown
SG: P4/mmm
ρ: 7.56 Mg/m³



Table of spin magnetization (μB per cell), in record order: 0.0 0.0 1.1 0.0 0.0 0.3 1.1 0.0